(1)
Compound: ThZr6Bi3
Source: Alexandria via LeMat-Bulk
Functional: PBE
Structure: optimized geometry

Cell lengths 7.596, 8.600, 8.600 Å; angles 109.22, 90.00, 90.00 degrees
Sites, in units of the cell vectors:
Th  0.020  0.263  0.737
Th  0.520  0.737  0.263
Zr  0.127  0.760  0.634
Zr  0.627  0.634  0.760
Zr  0.301  0.544  0.951
Zr  0.801  0.951  0.544
Zr  0.286  0.945  0.055
Zr  0.581  0.268  0.732
Zr  0.081  0.732  0.268
Zr  0.786  0.055  0.945
Zr  0.301  0.049  0.456
Zr  0.801  0.456  0.049
Zr  0.127  0.366  0.240
Zr  0.627  0.240  0.366
Bi  0.461  0.929  0.719
Bi  0.961  0.719  0.929
Bi  0.322  0.437  0.563
Bi  0.822  0.563  0.437
Bi  0.961  0.071  0.281
Bi  0.461  0.281  0.071

Values from the calculation:
Total DFT energy (no corrections)   -7.17 eV/atom
SG   No. 36
E_form   -0.13 eV per atom
N(E_F)   16.98 states/eV/cell
Total magnetization   0.000 Bohr magnetons per cell

(2)
Compound: ThZr3Bi2
Source: Alexandria via LeMat-Bulk
Functional: PBE
Structure: optimized geometry

Cell lengths 4.092, 9.825, 9.270 Å; angles 115.90, 90.00, 102.02 degrees
Sites, in units of the cell vectors:
Th  0.871  0.741  0.955
Th  0.129  0.259  0.045
Zr  0.312  0.624  0.533
Zr  0.942  0.884  0.567
Zr  0.593  0.187  0.705
Zr  0.407  0.813  0.295
Zr  0.058  0.116  0.433
Zr  0.688  0.376  0.467
Bi  0.470  0.941  0.818
Bi  0.530  0.059  0.182
Bi  0.779  0.557  0.244
Bi  0.221  0.443  0.756

Values from the calculation:
Total DFT energy (no corrections)   -7.03 eV/atom
SG   No. 12
E_form   -0.22 eV per atom
N(E_F)   11.16 states/eV/cell
Total magnetization   0.000 Bohr magnetons per cell

(3)
Compound: Ti7Bi3
Source: Alexandria via LeMat-Bulk
Functional: PBE
Structure: optimized geometry

Cell lengths 4.098, 6.200, 8.251 Å; angles 105.98, 104.38, 90.00 degrees
Sites, in units of the cell vectors:
Ti  0.000  0.500  0.000
Ti  0.803  0.894  0.605
Ti  0.197  0.106  0.395
Ti  0.605  0.304  0.210
Ti  0.395  0.696  0.790
Ti  0.592  0.799  0.184
Ti  0.408  0.201  0.816
Bi  0.000  0.000  0.000
Bi  0.808  0.366  0.617
Bi  0.192  0.634  0.383

Values from the calculation:
Total DFT energy (no corrections)   -6.77 eV/atom
SG   No. 12
E_form   -0.08 eV per atom
N(E_F)   11.60 states/eV/cell
Total magnetization   0.001 Bohr magnetons per cell

(4)
Compound: TiBi
Source: Alexandria via LeMat-Bulk
Functional: PBE
Structure: optimized geometry

Cell lengths 4.378, 9.148, 7.141 Å; angles 90.00, 90.00, 90.00 degrees
Sites, in units of the cell vectors:
Ti  0.500  0.807  0.535
Ti  0.500  0.193  0.535
Ti  0.500  0.307  0.035
Ti  0.500  0.693  0.035
Ti  0.000  0.000  0.573
Ti  0.000  0.500  0.073
Bi  0.000  0.320  0.744
Bi  0.000  0.680  0.744
Bi  0.000  0.820  0.244
Bi  0.000  0.180  0.244
Bi  0.500  0.000  0.870
Bi  0.500  0.500  0.370

Values from the calculation:
Total DFT energy (no corrections)   -5.92 eV/atom
SG   No. 38
E_form   -0.03 eV per atom
N(E_F)   9.43 states/eV/cell
Total magnetization   0.000 Bohr magnetons per cell

(5)
Compound: Ti8Bi
Source: Alexandria via LeMat-Bulk
Functional: PBE
Structure: optimized geometry

Cell lengths 3.862, 6.782, 6.782 Å; angles 85.35, 73.46, 73.46 degrees
Sites, in units of the cell vectors:
Ti  0.324  0.000  0.351
Ti  0.676  0.000  0.649
Ti  0.658  0.342  0.342
Ti  0.324  0.351  0.000
Ti  0.000  0.342  0.658
Ti  0.676  0.649  0.000
Ti  0.342  0.658  0.658
Ti  0.000  0.658  0.342
Bi  0.000  0.000  0.000

Values from the calculation:
Total DFT energy (no corrections)   -7.49 eV/atom
SG   No. 139
E_form   -0.04 eV per atom
N(E_F)   12.51 states/eV/cell
Total magnetization   0.000 Bohr magnetons per cell

(6)
Compound: TiBi
Source: Alexandria via LeMat-Bulk
Functional: PBE
Structure: optimized geometry

Cell lengths 10.890, 10.890, 3.570 Å; angles 90.00, 90.00, 90.00 degrees
Sites, in units of the cell vectors:
Ti  0.378  0.063  0.000
Ti  0.622  0.937  0.000
Ti  0.937  0.378  0.000
Ti  0.063  0.622  0.000
Ti  0.878  0.563  0.500
Ti  0.122  0.437  0.500
Ti  0.437  0.878  0.500
Ti  0.563  0.122  0.500
Bi  0.203  0.868  0.000
Bi  0.797  0.132  0.000
Bi  0.132  0.203  0.000
Bi  0.868  0.797  0.000
Bi  0.703  0.368  0.500
Bi  0.297  0.632  0.500
Bi  0.632  0.703  0.500
Bi  0.368  0.297  0.500

Values from the calculation:
Total DFT energy (no corrections)   -5.90 eV/atom
SG   No. 87
E_form   -0.01 eV per atom
N(E_F)   13.22 states/eV/cell
Total magnetization   0.000 Bohr magnetons per cell

(7)
Compound: Ti13Bi3
Source: Alexandria via LeMat-Bulk
Functional: PBE
Structure: optimized geometry

Cell lengths 6.275, 6.275, 7.642 Å; angles 90.00, 90.00, 92.66 degrees
Sites, in units of the cell vectors:
Ti  0.505  0.993  0.255
Ti  0.482  0.518  0.244
Ti  0.007  0.495  0.255
Ti  0.753  0.759  0.000
Ti  0.241  0.247  0.000
Ti  0.255  0.745  0.000
Ti  0.505  0.993  0.745
Ti  0.482  0.518  0.756
Ti  0.007  0.495  0.745
Ti  0.729  0.271  0.500
Ti  0.734  0.723  0.500
Ti  0.277  0.266  0.500
Ti  0.271  0.729  0.500
Bi  0.016  0.984  0.267
Bi  0.721  0.279  0.000
Bi  0.016  0.984  0.733

Values from the calculation:
Total DFT energy (no corrections)   -7.19 eV/atom
SG   No. 38
E_form   -0.05 eV per atom
N(E_F)   18.00 states/eV/cell
Total magnetization   0.007 Bohr magnetons per cell

(8)
Compound: TiBi
Source: Alexandria via LeMat-Bulk
Functional: PBE
Structure: optimized geometry

Cell lengths 6.468, 6.468, 6.468 Å; angles 90.00, 90.00, 90.00 degrees
Sites, in units of the cell vectors:
Ti  0.250  0.250  0.250
Ti  0.250  0.750  0.750
Ti  0.750  0.250  0.750
Ti  0.750  0.750  0.250
Bi  0.000  0.000  0.000
Bi  0.000  0.500  0.500
Bi  0.500  0.000  0.500
Bi  0.500  0.500  0.000

Values from the calculation:
Total DFT energy (no corrections)   -5.34 eV/atom
SG   No. 216
E_form   0.54 eV per atom
N(E_F)   14.64 states/eV/cell
Total magnetization   4.049 Bohr magnetons per cell

(9)
Compound: Ti13Bi2
Source: Alexandria via LeMat-Bulk
Functional: PBE
Structure: optimized geometry

Cell lengths 7.142, 7.142, 8.632 Å; angles 65.56, 65.56, 60.00 degrees
Sites, in units of the cell vectors:
Ti  0.500  0.500  0.500
Ti  0.379  0.998  0.244
Ti  0.379  0.379  0.244
Ti  0.998  0.379  0.244
Ti  0.002  0.621  0.756
Ti  0.621  0.002  0.756
Ti  0.621  0.621  0.756
Ti  0.260  0.886  0.594
Ti  0.260  0.260  0.594
Ti  0.886  0.260  0.594
Ti  0.114  0.740  0.406
Ti  0.740  0.114  0.406
Ti  0.740  0.740  0.406
Bi  0.360  0.360  0.920
Bi  0.640  0.640  0.080

Values from the calculation:
Total DFT energy (no corrections)   -6.93 eV/atom
SG   No. 166
E_form   0.43 eV per atom
N(E_F)   21.55 states/eV/cell
Total magnetization   0.001 Bohr magnetons per cell

(10)
Compound: TiBi
Source: Alexandria via LeMat-Bulk
Functional: PBE
Structure: optimized geometry

Cell lengths 7.934, 7.934, 7.934 Å; angles 90.00, 90.00, 90.00 degrees
Sites, in units of the cell vectors:
Ti  0.250  0.000  0.500
Ti  0.750  0.000  0.500
Ti  0.000  0.500  0.250
Ti  0.000  0.500  0.750
Ti  0.500  0.250  0.000
Ti  0.500  0.750  0.000
Bi  0.250  0.500  0.000
Bi  0.750  0.500  0.000
Bi  0.500  0.000  0.250
Bi  0.500  0.000  0.750
Bi  0.000  0.250  0.500
Bi  0.000  0.750  0.500

Values from the calculation:
Total DFT energy (no corrections)   -5.29 eV/atom
SG   No. 223
E_form   0.60 eV per atom
N(E_F)   15.45 states/eV/cell
Total magnetization   6.008 Bohr magnetons per cell

(11)
Compound: TiBi
Source: Alexandria via LeMat-Bulk
Functional: PBE
Structure: optimized geometry

Cell lengths 8.568, 8.568, 8.568 Å; angles 90.00, 90.00, 90.00 degrees
Sites, in units of the cell vectors:
Ti  0.119  0.119  0.119
Ti  0.119  0.881  0.881
Ti  0.881  0.119  0.881
Ti  0.881  0.881  0.119
Ti  0.619  0.619  0.619
Ti  0.619  0.381  0.381
Ti  0.381  0.619  0.381
Ti  0.381  0.381  0.619
Bi  0.306  0.306  0.306
Bi  0.306  0.694  0.694
Bi  0.694  0.306  0.694
Bi  0.694  0.694  0.306
Bi  0.806  0.806  0.806
Bi  0.806  0.194  0.194
Bi  0.194  0.806  0.194
Bi  0.194  0.194  0.806

Values from the calculation:
Total DFT energy (no corrections)   -5.57 eV/atom
SG   No. 217
E_form   0.32 eV per atom
N(E_F)   8.37 states/eV/cell
Total magnetization   4.079 Bohr magnetons per cell

(12)
Compound: Ti5Bi3
Source: Alexandria via LeMat-Bulk
Functional: PBE
Structure: optimized geometry

Cell lengths 6.024, 6.024, 9.318 Å; angles 90.00, 90.00, 104.22 degrees
Sites, in units of the cell vectors:
Ti  0.496  0.050  0.750
Ti  0.504  0.950  0.250
Ti  0.050  0.496  0.750
Ti  0.950  0.504  0.250
Ti  0.010  0.010  0.750
Ti  0.990  0.990  0.250
Ti  0.299  0.299  0.953
Ti  0.701  0.701  0.047
Ti  0.701  0.701  0.453
Ti  0.299  0.299  0.547
Bi  0.208  0.792  0.000
Bi  0.792  0.208  0.000
Bi  0.792  0.208  0.500
Bi  0.208  0.792  0.500
Bi  0.592  0.592  0.750
Bi  0.408  0.408  0.250

Values from the calculation:
Total DFT energy (no corrections)   -6.48 eV/atom
SG   No. 63
E_form   -0.09 eV per atom
N(E_F)   17.47 states/eV/cell
Total magnetization   0.009 Bohr magnetons per cell

(13)
Compound: Ti3Bi4
Source: Alexandria via LeMat-Bulk
Functional: PBE
Structure: optimized geometry

Cell lengths 4.534, 5.848, 7.248 Å; angles 105.50, 108.23, 90.00 degrees
Sites, in units of the cell vectors:
Ti  0.000  0.000  0.000
Ti  0.792  0.641  0.584
Ti  0.208  0.359  0.416
Bi  0.567  0.318  0.135
Bi  0.433  0.682  0.865
Bi  0.828  0.177  0.655
Bi  0.172  0.823  0.345

Values from the calculation:
Total DFT energy (no corrections)   -5.68 eV/atom
SG   No. 12
E_form   -0.08 eV per atom
N(E_F)   6.69 states/eV/cell
Total magnetization   0.633 Bohr magnetons per cell

(14)
Compound: TiBi
Source: Alexandria via LeMat-Bulk
Functional: PBE
Structure: optimized geometry

Cell lengths 4.444, 4.435, 6.398 Å; angles 90.00, 90.28, 90.00 degrees
Sites, in units of the cell vectors:
Bi  0.748  0.750  0.718
Bi  0.252  0.250  0.282
Ti  0.250  0.750  0.000
Ti  0.750  0.250  0.000

Values from the calculation:
Total DFT energy (no corrections)   -5.60 eV/atom
SG   No. 11
E_form   0.28 eV per atom
N(E_F)   2.96 states/eV/cell
Total magnetization   1.802 Bohr magnetons per cell

(15)
Compound: Ti3Bi2
Source: Alexandria via LeMat-Bulk
Functional: PBE
Structure: optimized geometry

Cell lengths 3.824, 10.131, 11.152 Å; angles 90.00, 90.00, 90.00 degrees
Sites, in units of the cell vectors:
Ti  0.250  0.613  0.531
Ti  0.250  0.887  0.031
Ti  0.750  0.387  0.469
Ti  0.750  0.113  0.969
Ti  0.750  0.095  0.626
Ti  0.750  0.405  0.126
Ti  0.250  0.905  0.374
Ti  0.250  0.595  0.874
Ti  0.250  0.290  0.693
Ti  0.250  0.210  0.193
Ti  0.750  0.710  0.307
Ti  0.750  0.790  0.807
Bi  0.250  0.175  0.451
Bi  0.250  0.325  0.951
Bi  0.750  0.825  0.549
Bi  0.750  0.675  0.049
Bi  0.750  0.504  0.703
Bi  0.750  0.996  0.203
Bi  0.250  0.496  0.297
Bi  0.250  0.004  0.797

Values from the calculation:
Total DFT energy (no corrections)   -6.38 eV/atom
SG   No. 62
E_form   -0.09 eV per atom
N(E_F)   18.10 states/eV/cell
Polymorph energy (0 for the lowest one)   0.00 eV per formula unit
Total magnetization   2.318 Bohr magnetons per cell

(16)
Compound: TiBi3
Source: Alexandria via LeMat-Bulk
Functional: PBE
Structure: optimized geometry

Cell lengths 3.917, 4.049, 7.411 Å; angles 90.00, 90.00, 90.00 degrees
Sites, in units of the cell vectors:
Bi  0.000  0.500  0.480
Bi  0.500  0.500  0.120
Bi  0.500  0.000  0.716
Ti  0.000  0.000  0.017

Values from the calculation:
Total DFT energy (no corrections)   -4.72 eV/atom
SG   No. 25
E_form   0.16 eV per atom
N(E_F)   3.37 states/eV/cell
Total magnetization   0.326 Bohr magnetons per cell

(17)
Compound: Ti3Bi2
Source: Alexandria via LeMat-Bulk
Functional: PBE
Structure: optimized geometry

Cell lengths 3.748, 7.433, 7.433 Å; angles 90.00, 90.00, 90.00 degrees
Sites, in units of the cell vectors:
Ti  0.000  0.397  0.820
Ti  0.000  0.820  0.603
Ti  0.000  0.603  0.180
Ti  0.000  0.180  0.397
Ti  0.500  0.500  0.500
Ti  0.000  0.000  0.000
Bi  0.500  0.693  0.870
Bi  0.500  0.130  0.693
Bi  0.500  0.870  0.307
Bi  0.500  0.307  0.130

Values from the calculation:
Total DFT energy (no corrections)   -6.30 eV/atom
SG   No. 83
E_form   -0.01 eV per atom
N(E_F)   11.99 states/eV/cell
Polymorph energy (0 for the lowest one)   0.39 eV per formula unit
Total magnetization   0.001 Bohr magnetons per cell

(18)
Compound: TiBi
Source: Alexandria via LeMat-Bulk
Functional: PBE
Structure: optimized geometry

Cell lengths 3.798, 5.530, 7.616 Å; angles 65.15, 75.56, 69.92 degrees
Sites, in units of the cell vectors:
Ti  0.308  0.041  0.342
Ti  0.004  0.382  0.611
Ti  0.258  0.552  0.931
Bi  0.947  0.084  0.021
Bi  0.711  0.917  0.660
Bi  0.605  0.524  0.267

Values from the calculation:
Total DFT energy (no corrections)   -5.95 eV/atom
SG   No. 8
E_form   -0.06 eV per atom
N(E_F)   5.23 states/eV/cell
Total magnetization   0.000 Bohr magnetons per cell

(19)
Compound: TiBi
Source: Alexandria via LeMat-Bulk
Functional: PBE
Structure: optimized geometry

Cell lengths 10.948, 10.948, 3.156 Å; angles 90.00, 90.00, 120.00 degrees
Sites, in units of the cell vectors:
Ti  0.634  0.166  0.250
Ti  0.468  0.634  0.750
Ti  0.834  0.468  0.250
Ti  0.366  0.834  0.750
Ti  0.532  0.366  0.250
Ti  0.166  0.532  0.750
Bi  0.948  0.282  0.250
Bi  0.666  0.948  0.750
Bi  0.718  0.666  0.250
Bi  0.052  0.718  0.750
Bi  0.334  0.052  0.250
Bi  0.282  0.334  0.750

Values from the calculation:
Total DFT energy (no corrections)   -5.66 eV/atom
SG   No. 176
E_form   0.23 eV per atom
N(E_F)   14.67 states/eV/cell
Total magnetization   5.270 Bohr magnetons per cell

(20)
Compound: Ti2Bi
Source: Alexandria via LeMat-Bulk
Functional: PBE
Structure: optimized geometry

Cell lengths 4.745, 4.747, 7.382 Å; angles 108.73, 90.00, 119.99 degrees
Sites, in units of the cell vectors:
Ti  0.111  0.222  0.166
Ti  0.407  0.815  0.055
Ti  0.537  0.074  0.445
Ti  0.833  0.667  0.334
Bi  0.693  0.387  0.914
Bi  0.251  0.502  0.586

Values from the calculation:
Total DFT energy (no corrections)   -6.56 eV/atom
SG   No. 166
E_form   0.00 eV per atom
N(E_F)   5.59 states/eV/cell
Total magnetization   3.158 Bohr magnetons per cell